# W2Cl4F5

An optimized crystal structure of W2Cl4F5 (PBE+U, Alexandria).

Calculated values
* total DFT energy (no corrections): -4.535 eV/atom

a = 6.016 Å, b = 3.831 Å, c = 10.029 Å
α = 90.00°, β = 92.28°, γ = 90.00°
Space group P2/m (No. 10)
Inequivalent atoms, fractional coordinates:
W (0.012, 0.000, 0.214) [2 per cell]
Cl (0.191, 0.500, 0.344) [2 per cell]
Cl (0.239, 0.500, 0.857) [2 per cell]
F (0.000, 0.000, 0.000) [1 per cell]
F (0.173, 0.000, 0.635) [2 per cell]
F (0.315, 0.000, 0.155) [2 per cell]